# 1
# Sc2CuSi, optimized geometry, DFT GGA-PBEsol
# **ΔE_f (raw)**: -572 meV per atom
# **Space group**: No. 38
# **DOS at the Fermi energy**: 2.9 states/eV per cell
data_Sc2CuSi
_space_group_name_H-M_alt 'P 1'
_space_group_IT_number 1
_space_group_name_Hall 'P 1'
_cell_length_a 3.653
_cell_length_b 3.887
_cell_length_c 5.312
_cell_angle_alpha 90.00
_cell_angle_beta 110.12
_cell_angle_gamma 90.00
loop_
_atom_site_label
_atom_site_type_symbol
_atom_site_fract_x
_atom_site_fract_y
_atom_site_fract_z
_atom_site_occupancy
Cu1 Cu 0.675 0.500 0.350 1
Sc1 Sc 0.391 0.500 0.782 1
Si1 Si 0.821 0.000 0.642 1
Sc2 Sc 0.103 0.000 0.206 1



# 2
# ScSnSbI2, optimized geometry, DFT GGA-PBEsol
# **ΔE_f (raw)**: -187 meV per atom
# **Space group**: No. 123
# **DOS at the Fermi energy**: 2.7 states/eV per cell
data_ScSnSbI2
_space_group_name_H-M_alt 'P 1'
_space_group_IT_number 1
_space_group_name_Hall 'P 1'
_cell_length_a 5.431
_cell_length_b 5.431
_cell_length_c 5.790
_cell_angle_alpha 90.00
_cell_angle_beta 90.00
_cell_angle_gamma 90.00
loop_
_atom_site_label
_atom_site_type_symbol
_atom_site_fract_x
_atom_site_fract_y
_atom_site_fract_z
_atom_site_occupancy
I1 I 0.000 0.500 0.000 1
Sn1 Sn 0.500 0.500 0.500 1
I2 I 0.500 0.000 0.000 1
Sb1 Sb 0.000 0.000 0.500 1
Sc1 Sc 0.000 0.000 0.000 1



# 3
# TlRuBr, optimized geometry, DFT GGA-PBEsol
# **ΔE_f (raw)**: 624 meV per atom
# **Space group**: No. 187
# **DOS at the Fermi energy**: 3.3 states/eV per cell
data_TlRuBr
_space_group_name_H-M_alt 'P 1'
_space_group_IT_number 1
_space_group_name_Hall 'P 1'
_cell_length_a 3.360
_cell_length_b 4.492
_cell_length_c 4.492
_cell_angle_alpha 120.00
_cell_angle_beta 90.00
_cell_angle_gamma 90.00
loop_
_atom_site_label
_atom_site_type_symbol
_atom_site_fract_x
_atom_site_fract_y
_atom_site_fract_z
_atom_site_occupancy
Br1 Br 0.000 0.000 0.000 1
Ru1 Ru 0.000 0.333 0.667 1
Tl1 Tl 0.500 0.667 0.333 1



# 4
# Al5Sb, optimized geometry, DFT GGA-PBEsol
# **ΔE_f (raw)**: 131 meV per atom
# **Space group**: No. 6
# **DOS at the Fermi energy**: 2.8 states/eV per cell
# **Energy above the lowest structure with this stoichiometry**: 15.3 meV/atom
data_Al5Sb
_space_group_name_H-M_alt 'P 1'
_space_group_IT_number 1
_space_group_name_Hall 'P 1'
_cell_length_a 2.885
_cell_length_b 4.683
_cell_length_c 9.149
_cell_angle_alpha 90.00
_cell_angle_beta 111.92
_cell_angle_gamma 90.00
loop_
_atom_site_label
_atom_site_type_symbol
_atom_site_fract_x
_atom_site_fract_y
_atom_site_fract_z
_atom_site_occupancy
Sb1 Sb 0.271 0.500 0.207 1
Al1 Al 0.684 0.500 0.579 1
Al2 Al 0.105 0.000 0.961 1
Al3 Al 0.292 0.000 0.666 1
Al4 Al 0.466 0.000 0.389 1
Al5 Al 0.515 0.500 0.865 1



# 5
# Sc2Rh, optimized geometry, DFT GGA-PBEsol
# **Formation energy from the elements**: -60 kJ/mol of atoms
# **Space group**: No. 189
# **DOS at the Fermi energy**: 12.3 states/eV per cell
data_Sc2Rh
_space_group_name_H-M_alt 'P 1'
_space_group_IT_number 1
_space_group_name_Hall 'P 1'
_cell_length_a 4.269
_cell_length_b 6.825
_cell_length_c 6.825
_cell_angle_alpha 120.00
_cell_angle_beta 90.00
_cell_angle_gamma 90.00
loop_
_atom_site_label
_atom_site_type_symbol
_atom_site_fract_x
_atom_site_fract_y
_atom_site_fract_z
_atom_site_occupancy
Sc1 Sc 0.500 0.586 0.000 1
Rh1 Rh 0.500 0.000 0.000 1
Sc2 Sc 0.000 0.000 0.260 1
Sc3 Sc 0.000 0.260 0.000 1
Rh2 Rh 0.000 0.333 0.667 1
Rh3 Rh 0.000 0.667 0.333 1
Sc4 Sc 0.500 0.000 0.586 1
Sc5 Sc 0.500 0.414 0.414 1
Sc6 Sc 0.000 0.740 0.740 1



# 6
# Ba2FeCl, optimized geometry, DFT GGA-PBEsol
# **ΔE_f (raw)**: -360 meV per atom
# **Space group**: No. 123
# **DOS at the Fermi energy**: 6.5 states/eV per cell
# **Energy above the lowest structure with this stoichiometry**: 0.0 meV/atom
data_Ba2FeCl
_space_group_name_H-M_alt 'P 1'
_space_group_IT_number 1
_space_group_name_Hall 'P 1'
_cell_length_a 3.735
_cell_length_b 3.735
_cell_length_c 8.359
_cell_angle_alpha 90.00
_cell_angle_beta 90.00
_cell_angle_gamma 90.00
loop_
_atom_site_label
_atom_site_type_symbol
_atom_site_fract_x
_atom_site_fract_y
_atom_site_fract_z
_atom_site_occupancy
Ba1 Ba 0.000 0.000 0.735 1
Fe1 Fe 0.500 0.500 0.500 1
Ba2 Ba 0.000 0.000 0.265 1
Cl1 Cl 0.500 0.500 0.000 1



# 7
# ZnCr2Fe, optimized geometry, DFT GGA-PBEsol
# **Formation energy from the elements**: 19 kJ/mol of atoms
# **Space group**: No. 166
# **DOS at the Fermi energy**: 3.1 states/eV per cell
data_ZnCr2Fe
_space_group_name_H-M_alt 'P 1'
_space_group_IT_number 1
_space_group_name_Hall 'P 1'
_cell_length_a 2.497
_cell_length_b 2.497
_cell_length_c 8.514
_cell_angle_alpha 81.57
_cell_angle_beta 81.57
_cell_angle_gamma 60.00
loop_
_atom_site_label
_atom_site_type_symbol
_atom_site_fract_x
_atom_site_fract_y
_atom_site_fract_z
_atom_site_occupancy
Cr1 Cr 0.756 0.756 0.733 1
Cr2 Cr 0.244 0.244 0.267 1
Fe1 Fe 0.500 0.500 0.500 1
Zn1 Zn 0.000 0.000 0.000 1



# 8
# Sc2NiBr, optimized geometry, DFT GGA-PBEsol
# **ΔE_f (raw)**: -397 meV per atom
# **Space group**: No. 65
# **DOS at the Fermi energy**: 4.4 states/eV per cell
# **Energy above the lowest structure with this stoichiometry**: 0.0 meV/atom
data_Sc2NiBr
_space_group_name_H-M_alt 'P 1'
_space_group_IT_number 1
_space_group_name_Hall 'P 1'
_cell_length_a 3.109
_cell_length_b 4.759
_cell_length_c 4.759
_cell_angle_alpha 98.16
_cell_angle_beta 90.00
_cell_angle_gamma 90.00
loop_
_atom_site_label
_atom_site_type_symbol
_atom_site_fract_x
_atom_site_fract_y
_atom_site_fract_z
_atom_site_occupancy
Ni1 Ni 0.500 0.500 0.500 1
Sc1 Sc 0.000 0.000 0.500 1
Sc2 Sc 0.000 0.500 0.000 1
Br1 Br 0.500 0.000 0.000 1



# 9
# BaBeTl2, optimized geometry, DFT GGA-PBEsol
# **Formation energy from the elements**: 9 kJ/mol of atoms
# **Space group**: No. 38
# **DOS at the Fermi energy**: 1.7 states/eV per cell
data_BaBeTl2
_space_group_name_H-M_alt 'P 1'
_space_group_IT_number 1
_space_group_name_Hall 'P 1'
_cell_length_a 4.242
_cell_length_b 4.485
_cell_length_c 6.485
_cell_angle_alpha 90.00
_cell_angle_beta 109.09
_cell_angle_gamma 90.00
loop_
_atom_site_label
_atom_site_type_symbol
_atom_site_fract_x
_atom_site_fract_y
_atom_site_fract_z
_atom_site_occupancy
Be1 Be 0.886 0.500 0.772 1
Ba1 Ba 0.546 0.000 0.091 1
Tl1 Tl 0.827 0.000 0.654 1
Tl2 Tl 0.231 0.500 0.462 1



# 10
# AlTc2BF, optimized geometry, DFT GGA-PBEsol
# **ΔE_f (raw)**: 1220 meV per atom
# **Space group**: No. 123
# **DOS at the Fermi energy**: 4.0 states/eV per cell
data_AlTc2BF
_space_group_name_H-M_alt 'P 1'
_space_group_IT_number 1
_space_group_name_Hall 'P 1'
_cell_length_a 3.353
_cell_length_b 4.652
_cell_length_c 4.652
_cell_angle_alpha 90.00
_cell_angle_beta 90.00
_cell_angle_gamma 90.00
loop_
_atom_site_label
_atom_site_type_symbol
_atom_site_fract_x
_atom_site_fract_y
_atom_site_fract_z
_atom_site_occupancy
Tc1 Tc 0.000 0.000 0.500 1
Al1 Al 0.000 0.000 0.000 1
F1 F 0.500 0.000 0.000 1
B1 B 0.500 0.500 0.500 1
Tc2 Tc 0.000 0.500 0.000 1



# 11
# Tl24As5, optimized geometry, DFT GGA-PBEsol
# **Formation energy from the elements**: 8 kJ/mol of atoms
# **Space group**: No. 217
# **DOS at the Fermi energy**: 14.2 states/eV per cell
data_Tl24As5
_space_group_name_H-M_alt 'P 1'
_space_group_IT_number 1
_space_group_name_Hall 'P 1'
_cell_length_a 10.201
_cell_length_b 10.201
_cell_length_c 10.201
_cell_angle_alpha 109.47
_cell_angle_beta 109.47
_cell_angle_gamma 109.47
loop_
_atom_site_label
_atom_site_type_symbol
_atom_site_fract_x
_atom_site_fract_y
_atom_site_fract_z
_atom_site_occupancy
As1 As 0.000 0.247 0.000 1
Tl1 Tl 0.188 0.379 0.379 1
Tl2 Tl 0.423 0.725 0.423 1
As2 As 0.000 0.000 0.247 1
Tl3 Tl 0.812 0.191 0.191 1
As3 As 0.000 0.000 0.000 1
As4 As 0.247 0.000 0.000 1
Tl4 Tl 0.621 0.809 0.000 1
Tl5 Tl 0.000 0.809 0.621 1
Tl6 Tl 0.423 0.423 0.725 1
Tl7 Tl 0.000 0.302 0.577 1
Tl8 Tl 0.698 0.698 0.275 1
Tl9 Tl 0.000 0.577 0.302 1
Tl10 Tl 0.809 0.000 0.621 1
Tl11 Tl 0.191 0.812 0.191 1
Tl12 Tl 0.302 0.000 0.577 1
Tl13 Tl 0.191 0.191 0.812 1
Tl14 Tl 0.302 0.577 0.000 1
Tl15 Tl 0.379 0.379 0.188 1
Tl16 Tl 0.275 0.698 0.698 1
Tl17 Tl 0.698 0.275 0.698 1
As5 As 0.753 0.753 0.753 1
Tl18 Tl 0.379 0.188 0.379 1
Tl19 Tl 0.725 0.423 0.423 1
Tl20 Tl 0.621 0.000 0.809 1
Tl21 Tl 0.000 0.621 0.809 1
Tl22 Tl 0.577 0.000 0.302 1
Tl23 Tl 0.809 0.621 0.000 1
Tl24 Tl 0.577 0.302 0.000 1



# 12
# BaCa3Cd, optimized geometry, DFT GGA-PBEsol
# **Formation energy from the elements**: -3 kJ/mol of atoms
# **Space group**: No. 221
# **DOS at the Fermi energy**: 6.4 states/eV per cell
data_BaCa3Cd
_space_group_name_H-M_alt 'P 1'
_space_group_IT_number 1
_space_group_name_Hall 'P 1'
_cell_length_a 5.995
_cell_length_b 5.995
_cell_length_c 5.995
_cell_angle_alpha 90.00
_cell_angle_beta 90.00
_cell_angle_gamma 90.00
loop_
_atom_site_label
_atom_site_type_symbol
_atom_site_fract_x
_atom_site_fract_y
_atom_site_fract_z
_atom_site_occupancy
Ba1 Ba 0.500 0.500 0.500 1
Ca1 Ca 0.500 0.000 0.000 1
Cd1 Cd 0.000 0.000 0.000 1
Ca2 Ca 0.000 0.500 0.000 1
Ca3 Ca 0.000 0.000 0.500 1